First-principles (meta-GGA SCAN) data for a crystal of KCd2Ga2 relaxed with PBEsol, as listed in the Alexandria database.

a = 6.4382 Å, b = 6.4382 Å, c = 6.4382 Å
α = 137.86°, β = 137.86°, γ = 61.12°
Last column: nearest neighbours and their distance in Å.
Element x y z (fractional)
K: 0.0000 0.0000 0.0000  8 Ga 3.51, 8 Cd 3.61
Cd: 0.2500 0.7500 0.5000  4 Ga 2.76
Cd: 0.7500 0.2500 0.5000  4 Ga 2.76
Ga: 0.3863 0.3863 0.0000  1 Ga 2.52, 4 Cd 2.76
Ga: 0.6137 0.6137 0.0000  1 Ga 2.52, 4 Cd 2.76

* energy relative to the elements: -0.135 eV/atom
* volume: 23.76 A^3/atom
* SG: I4/mmm

First-principles (meta-GGA SCAN) data for a crystal of Mg3CdGa relaxed with PBEsol, as listed in the Alexandria database.

a = 5.1689 Å, b = 5.1689 Å, c = 5.1689 Å
α = 90.00°, β = 90.00°, γ = 90.00°
Last column: nearest neighbours and their distance in Å.
Element x y z (fractional)
Mg: 0.0000 0.0000 0.5000  2 Cd 2.58
Mg: 0.0000 0.5000 0.0000  2 Cd 2.58
Mg: 0.5000 0.0000 0.0000  2 Cd 2.58
Cd: 0.0000 0.0000 0.0000  6 Mg 2.58
Ga: 0.5000 0.5000 0.5000  12 Mg 3.65

* energy relative to the elements: 0.323 eV/atom
* volume: 27.62 A^3/atom
* SG: Pm-3m

First-principles (meta-GGA SCAN) data for a crystal of MgCd3Ga relaxed with PBEsol, as listed in the Alexandria database.

a = 5.2176 Å, b = 5.2176 Å, c = 5.2176 Å
α = 90.00°, β = 90.00°, γ = 90.00°
Last column: nearest neighbours and their distance in Å.
Element x y z (fractional)
Mg: 0.0000 0.0000 0.0000  6 Cd 2.61
Cd: 0.0000 0.0000 0.5000  2 Mg 2.61
Cd: 0.0000 0.5000 0.0000  2 Mg 2.61
Cd: 0.5000 0.0000 0.0000  2 Mg 2.61
Ga: 0.5000 0.5000 0.5000  12 Cd 3.69

* energy relative to the elements: 0.529 eV/atom
* volume: 28.41 A^3/atom
* polymorph energy (0 for the lowest one): 1.02 eV/f.u.
* SG: Pm-3m

First-principles (meta-GGA SCAN) data for a crystal of MgCdGa3 relaxed with PBEsol, as listed in the Alexandria database.

a = 5.0901 Å, b = 5.0901 Å, c = 5.0901 Å
α = 90.00°, β = 90.00°, γ = 90.00°
Last column: nearest neighbours and their distance in Å.
Element x y z (fractional)
Mg: 0.0000 0.0000 0.0000  12 Ga 3.60
Cd: 0.5000 0.5000 0.5000  6 Ga 2.55
Ga: 0.0000 0.5000 0.5000  2 Cd 2.55
Ga: 0.5000 0.0000 0.5000  2 Cd 2.55
Ga: 0.5000 0.5000 0.0000  2 Cd 2.55

* energy relative to the elements: 0.533 eV/atom
* volume: 26.38 A^3/atom
* SG: Pm-3m

First-principles (meta-GGA SCAN) data for a crystal of MgCd3Ga relaxed with PBEsol, as listed in the Alexandria database.

a = 5.1341 Å, b = 5.1341 Å, c = 5.1341 Å
α = 90.00°, β = 90.00°, γ = 90.00°
Last column: nearest neighbours and their distance in Å.
Element x y z (fractional)
Mg: 0.0000 0.0000 0.0000  12 Cd 3.63
Cd: 0.0000 0.5000 0.5000  2 Ga 2.57
Cd: 0.5000 0.0000 0.5000  2 Ga 2.57
Cd: 0.5000 0.5000 0.0000  2 Ga 2.57
Ga: 0.5000 0.5000 0.5000  6 Cd 2.57

* energy relative to the elements: 0.325 eV/atom
* volume: 27.07 A^3/atom
* polymorph energy (0 for the lowest one): 0.00 eV/f.u.
* SG: Pm-3m

First-principles (meta-GGA SCAN) data for a crystal of MgZrCdGa2 relaxed with PBEsol, as listed in the Alexandria database.

a = 4.7751 Å, b = 4.7751 Å, c = 5.2123 Å
α = 90.00°, β = 90.00°, γ = 90.00°
Last column: nearest neighbours and their distance in Å.
Element x y z (fractional)
Mg: 0.0000 0.0000 0.0000  4 Ga 2.39, 2 Zr 2.61
Zr: 0.0000 0.0000 0.5000  2 Mg 2.61
Cd: 0.5000 0.5000 0.5000  4 Zr 3.38, 8 Ga 3.53
Ga: 0.0000 0.5000 0.0000  2 Mg 2.39
Ga: 0.5000 0.0000 0.0000  2 Mg 2.39

* energy relative to the elements: 0.725 eV/atom
* volume: 23.77 A^3/atom
* SG: P4/mmm

First-principles (meta-GGA SCAN) data for a crystal of MnNbCdGa2 relaxed with PBEsol, as listed in the Alexandria database.

a = 4.4496 Å, b = 4.4496 Å, c = 4.7787 Å
α = 90.00°, β = 90.00°, γ = 90.00°
Last column: nearest neighbours and their distance in Å.
Element x y z (fractional)
Mn: 0.0000 0.0000 0.0000  4 Ga 2.22, 2 Cd 2.39
Nb: 0.5000 0.5000 0.5000  4 Cd 3.15, 8 Ga 3.26
Cd: 0.0000 0.0000 0.5000  2 Mn 2.39
Ga: 0.0000 0.5000 0.0000  2 Mn 2.22
Ga: 0.5000 0.0000 0.0000  2 Mn 2.22

* energy relative to the elements: 0.638 eV/atom
* volume: 18.92 A^3/atom
* SG: P4/mmm

First-principles (meta-GGA SCAN) data for a crystal of Cd2GaSiMo relaxed with PBEsol, as listed in the Alexandria database.

a = 5.2317 Å, b = 5.2317 Å, c = 4.6336 Å
α = 90.00°, β = 90.00°, γ = 90.00°
Last column: nearest neighbours and their distance in Å.
Element x y z (fractional)
Cd: 0.0000 0.5000 0.0000  2 Mo 2.62
Cd: 0.5000 0.0000 0.0000  2 Mo 2.62
Ga: 0.0000 0.0000 0.5000  8 Cd 3.49, 4 Si 3.70
Si: 0.5000 0.5000 0.5000  2 Mo 2.32
Mo: 0.5000 0.5000 0.0000  2 Si 2.32

* volume: 25.37 A^3/atom
* energy relative to the elements, uncorrected: 4.43 eV per formula unit
* SG: P4/mmm